Below is crystalline BaIr2Pb at its relaxed geometry, with properties calculated at the PBE level.

Computed properties:
ΔE to the lowest computed polymorph	0	meV/atom
final energy	-23.924	eV per formula unit
SG	R3m (160)
formation energy	-0.14	eV per atom
total magnetization	0.00	μB/f.u.
DOS at the Fermi energy	4.8	states/eV/cell
calculated density	11.1	g/cm³

a b c (Å): 4.4487 4.4487 6.8592
angles (deg): 71.09 71.09 59.99
Atoms (fractional coordinates):
Ba  0.2685  0.2685  0.1949
Pb  0.4607  0.4607  0.6174
Ir  0.0518  0.0518  0.8444
Ir  0.7190  0.7190  0.8433


Below is crystalline Ac4Pd2N at its relaxed geometry, with properties calculated at the PBE level.

Computed properties:
ΔE to the lowest computed polymorph	0	meV/atom
final energy	-40.287	eV per formula unit
ΔE_f (raw)	-735	meV/atom
SG	C2/m (12)
total magnetization	0.00	μB/f.u.
DOS at the Fermi energy	6.5	states/eV/cell
calculated density	9.5	g/cm³

a b c (Å): 4.0121 8.8482 7.6585
angles (deg): 128.98 105.19 90.00
Atoms (fractional coordinates):
Ac  0.3428  0.7600  0.6856
Ac  0.6572  0.2400  0.3144
Ac  0.0814  0.7964  0.1628
Ac  0.9186  0.2036  0.8372
Pd  0.6224  0.5594  0.2448
Pd  0.3776  0.4406  0.7552
N  0.0000  0.0000  0.0000


Below is crystalline Nd3Y4Tl at its relaxed geometry, with properties calculated at the PBE level.

Computed properties:
ΔE to the lowest computed polymorph	0	meV/atom
final energy	-43.249	eV per formula unit
SG	P4/mmm (123)
formation energy	-0.09	eV per atom
total magnetization	0.00	μB/f.u.
DOS at the Fermi energy	10.4	states/eV/cell
calculated density	6.4	g/cm³

a b c (Å): 3.6515 3.6515 19.3970
angles (deg): 90.00 90.00 90.00
Atoms (fractional coordinates):
Tl  0.5000  0.5000  0.0000
Nd  0.5000  0.5000  0.5000
Y  0.0000  0.0000  0.3695
Y  0.0000  0.0000  0.6305
Y  0.0000  0.0000  0.8937
Nd  0.5000  0.5000  0.2370
Y  0.0000  0.0000  0.1063
Nd  0.5000  0.5000  0.7630


Below is crystalline Tl3HgO at its relaxed geometry, with properties calculated at the PBE level.

Computed properties:
ΔE to the lowest computed polymorph	51	meV/atom
final energy	-13.729	eV per formula unit
ΔE_f (raw)	-274	meV/atom
SG	P2_1/m (11)
total magnetization	0.00	μB/f.u.
DOS at the Fermi energy	2.3	states/eV/cell
calculated density	8.7	g/cm³

a b c (Å): 3.5284 9.1660 10.2876
angles (deg): 108.02 90.00 90.00
Atoms (fractional coordinates):
Tl  0.7500  0.1824  0.0096
Tl  0.2500  0.0033  0.3263
Tl  0.7500  0.6286  0.6734
O  0.7500  0.8810  0.8523
Hg  0.2500  0.3020  0.6390
Tl  0.2500  0.3714  0.3266
O  0.2500  0.1190  0.1477
Hg  0.7500  0.6980  0.3610
Tl  0.7500  0.9967  0.6737
Tl  0.2500  0.8176  0.9904


Below is crystalline NpTiRu at its relaxed geometry, with properties calculated at the PBE level.

Computed properties:
final energy	-29.898	eV per formula unit
SG	Ima2 (46)
formation energy	0.07	eV per atom
total magnetization	2.33	μB/f.u.
DOS at the Fermi energy	27.6	states/eV/cell
calculated density	12.7	g/cm³

a b c (Å): 7.9212 8.2423 5.7889
angles (deg): 69.44 90.00 118.72
Atoms (fractional coordinates):
Ru  0.6107  0.9850  0.2575
Ru  0.2387  0.3536  0.0732
Ti  0.9185  0.3390  0.8280
Ti  0.2618  0.0384  0.7308
Np  0.5594  0.3043  0.8848
Ti  0.5794  0.6610  0.6670
Np  0.5594  0.3043  0.3108
Ru  0.8850  0.6464  0.9268
Np  0.2551  0.6957  0.6892
Np  0.2551  0.6957  0.1152
Ru  0.2514  0.3953  0.5524
Np  0.9314  0.0000  0.5000
Ti  0.9185  0.3390  0.3330
Ti  0.5794  0.6610  0.1720
Np  0.9314  0.0000  0.0000
Ti  0.2234  0.9616  0.2692
Ru  0.6257  0.0150  0.7425
Ru  0.8561  0.6047  0.4476


Below is crystalline NaAcMgPb at its relaxed geometry, with properties calculated at the PBE level.

Computed properties:
final energy	-11.518	eV per formula unit
SG	F-43m (216)
formation energy	-0.20	eV per atom
total magnetization	0.00	μB/f.u.
DOS at the Fermi energy	1.2	states/eV/cell
calculated density	6.2	g/cm³

a b c (Å): 5.6698 5.6698 5.6698
angles (deg): 60.00 60.00 60.00
Atoms (fractional coordinates):
Mg  0.0000  0.0000  0.0000
Pb  0.5000  0.5000  0.5000
Ac  0.2500  0.2500  0.2500
Na  0.7500  0.7500  0.7500


Below is crystalline DyPu2Sc8 at its relaxed geometry, with properties calculated at the PBE level.

Computed properties:
final energy	-83.103	eV per formula unit
SG	C2/m (12)
formation energy	0.07	eV per atom
total magnetization	12.08	μB/f.u.
DOS at the Fermi energy	25.6	states/eV/cell
calculated density	6.1	g/cm³

a b c (Å): 4.6480 7.3069 8.7189
angles (deg): 103.91 105.46 90.00
Atoms (fractional coordinates):
Sc  0.9520  0.2756  0.9040
Pu  0.7721  0.3636  0.5443
Sc  0.3153  0.0892  0.6306
Sc  0.4074  0.5374  0.8148
Sc  0.8621  0.8125  0.7242
Sc  0.5926  0.4626  0.1852
Sc  0.1379  0.1875  0.2758
Pu  0.2279  0.6364  0.4557
Dy  0.5000  0.0000  0.0000
Sc  0.6847  0.9108  0.3694
Sc  0.0480  0.7244  0.0960


Below is crystalline PrCu4Pd at its relaxed geometry, with properties calculated at the PBE level.

Computed properties:
ΔE to the lowest computed polymorph	4	meV/atom
final energy	-28.042	eV per formula unit
SG	F-43m (216)
formation energy	-0.28	eV per atom
total magnetization	0.00	μB/f.u.
DOS at the Fermi energy	3.2	states/eV/cell
calculated density	8.9	g/cm³

a b c (Å): 5.0922 5.0922 5.0922
angles (deg): 60.00 60.00 60.00
Atoms (fractional coordinates):
Cu  0.6264  0.6264  0.6264
Pd  0.0000  0.0000  0.0000
Cu  0.1207  0.6264  0.6264
Pr  0.2500  0.2500  0.2500
Cu  0.6264  0.1207  0.6264
Cu  0.6264  0.6264  0.1207


Please write out number 8 again, unchanged.
Below is crystalline PrCu4Pd at its relaxed geometry, with properties calculated at the PBE level.

Computed properties:
ΔE to the lowest computed polymorph	4	meV/atom
final energy	-28.042	eV per formula unit
SG	F-43m (216)
formation energy	-0.28	eV per atom
total magnetization	0.00	μB/f.u.
DOS at the Fermi energy	3.2	states/eV/cell
calculated density	8.9	g/cm³

a b c (Å): 5.0922 5.0922 5.0922
angles (deg): 60.00 60.00 60.00
Atoms (fractional coordinates):
Cu  0.6264  0.6264  0.6264
Pd  0.0000  0.0000  0.0000
Cu  0.1207  0.6264  0.6264
Pr  0.2500  0.2500  0.2500
Cu  0.6264  0.1207  0.6264
Cu  0.6264  0.6264  0.1207